Crystalline Pm2SmC2I2 at its relaxed geometry. Source: Alexandria, functional PBE-GGA.

**Formation energy from raw total energies**: -387 meV per atom
**Total DFT energy (no corrections)**: -5.496 eV per atom

Cell lengths 9.987, 9.987, 9.987 Å; angles 153.49, 153.49, 37.84 degrees
Atoms (fractional coordinates):
Pm (0.082, 0.082, 0.000)
Pm (0.918, 0.918, 0.000)
Sm (0.500, 0.500, 0.000)
C (0.000, 0.500, 0.500)
C (0.500, 0.000, 0.500)
I (0.328, 0.328, 0.000)
I (0.672, 0.672, 0.000)

***

Crystalline Na2Li5Tl at its relaxed geometry. Source: Alexandria, functional PBE-GGA.

**ΔH_f (0 K)**: -0.0815 eV/atom
**Total DFT energy (no corrections)**: -1.903 eV per atom

Cell lengths 8.200, 8.200, 8.200 Å; angles 144.57, 144.57, 50.98 degrees
Atoms (fractional coordinates):
Na (0.244, 0.244, 0.000)
Na (0.756, 0.756, 0.000)
Li (0.099, 0.599, 0.500)
Li (0.401, 0.901, 0.500)
Li (0.500, 0.500, 0.000)
Li (0.599, 0.099, 0.500)
Li (0.901, 0.401, 0.500)
Tl (0.000, 0.000, 0.000)

***

Crystalline Y2MnCu at its relaxed geometry. Source: Alexandria, functional PBE-GGA.

**ΔH_f (0 K)**: -0.0150 eV/atom
**Total DFT energy (no corrections)**: -6.563 eV per atom

Cell lengths 3.475, 3.475, 7.169 Å; angles 90.00, 90.00, 90.00 degrees
Atoms (fractional coordinates):
Y (0.000, 0.000, 0.247)
Y (0.000, 0.000, 0.753)
Mn (0.500, 0.500, 0.500)
Cu (0.500, 0.500, 0.000)